# Ho2Er

A geometry-optimized Ho2Er structure (GGA-PBE, Alexandria via LeMat-Bulk).

abc: 3.441 3.441 31.867
angles: 90.00 90.00 90.00
Space group I4_1/amd (No. 141, origin choice 2)
Unique sites:
Ho1 0.000 0.250 0.297
Er1 0.000 0.250 0.875

Properties
VASP energy: -4.418 eV per atom
energy of formation from the pure elements: 155 meV/atom
relative energy among the computed polymorphs: 134 meV/atom
crystal system: tetragonal